HgIr5 | PBE-GGA | optimized geometry

## Properties
size of the total moment	0.00	μB/f.u.
uncorrected energy	-7.115	eV/atom

Unit cell a=10.3824 b=2.7801 c=6.7137 alpha=90.00 beta=105.67 gamma=90.00
Space group Cm (No. 8)
Unique sites:
Hg: 0.0000 0.0000 0.0000 (multiplicity 2)
Ir: 0.0444 0.0000 0.5998 (multiplicity 2)
Ir: 0.1609 0.5000 0.3473 (multiplicity 2)
Ir: 0.2273 0.5000 0.9449 (multiplicity 2)
Ir: 0.3151 0.0000 0.6570 (multiplicity 2)
Ir: 0.3718 0.0000 0.2883 (multiplicity 2)